#one
Density functional theory data (PBE-GGA) for an optimized crystal structure of MgIn2Br.

Fermi-level density of states: 5.6 states/eV/f.u.
Magnetic moment: 0.00 μB/f.u.

Cell lengths 5.4593, 5.4593, 5.4593 Å; angles 60.00, 60.00, 60.00 degrees
Atoms (fractional coordinates):
Br (0.5000, 0.5000, 0.5000)
In (0.2500, 0.2500, 0.2500)
In (0.7500, 0.7500, 0.7500)
Mg (0.0000, 0.0000, 0.0000)

***

#two
Density functional theory data (PBE-GGA) for an optimized crystal structure of MgIn2Br.

Fermi-level density of states: 2.0 states/eV/f.u.
Magnetic moment: 0.00 μB/f.u.

Cell lengths 5.9174, 3.4946, 5.2960 Å; angles 90.00, 90.00, 90.00 degrees
Atoms (fractional coordinates):
In (0.5000, 0.1247, 0.1325)
In (0.0000, 0.1254, 0.1191)
Br (0.5000, 0.6247, 0.6276)
Mg (0.0000, 0.6252, 0.6207)

***

#three
Density functional theory data (PBE-GGA) for an optimized crystal structure of MgIn2Br.

Fermi-level density of states: 1.8 states/eV/f.u.
Magnetic moment: 0.00 μB/f.u.

Cell lengths 3.4972, 3.4972, 9.7964 Å; angles 90.00, 90.00, 113.27 degrees
Atoms (fractional coordinates):
Br (0.5000, 0.5000, 0.7500)
Mg (0.5000, 0.5000, 0.2500)
In (0.0000, 0.0000, 0.9941)
In (0.0000, 0.0000, 0.5059)

***

#four
Density functional theory data (PBE-GGA) for an optimized crystal structure of MgIn2Br.

Fermi-level density of states: 1.9 states/eV/f.u.
Magnetic moment: 0.00 μB/f.u.

Cell lengths 6.6506, 6.6506, 6.6506 Å; angles 149.00, 134.41, 56.15 degrees
Atoms (fractional coordinates):
Br (0.2500, 0.7500, 0.5000)
In (0.5283, 0.5283, 0.0000)
In (0.9717, 0.9717, 0.0000)
Mg (0.7500, 0.2500, 0.5000)

***

Energies, relative to the best one, in eV/atom: #one 0.239; #two 0.000; #three 0.141; #four 0.072.

***

#one
Density functional theory data (PBE-GGA) for an optimized crystal structure of MgIn2Br.

Fermi-level density of states: 2.1 states/eV/f.u.
Magnetic moment: 0.00 μB/f.u.

Cell lengths 6.2714, 6.2714, 6.2714 Å; angles 137.98, 137.98, 60.93 degrees
Atoms (fractional coordinates):
In (0.0000, 0.0000, 0.0000)
In (0.5000, 0.5000, 0.0000)
Mg (0.2500, 0.7500, 0.5000)
Br (0.7500, 0.2500, 0.5000)

***

#two
Density functional theory data (PBE-GGA) for an optimized crystal structure of MgIn2Br.

Fermi-level density of states: 1.7 states/eV/f.u.
Magnetic moment: 0.00 μB/f.u.

Cell lengths 3.6596, 3.6596, 8.0940 Å; angles 90.00, 90.00, 90.00 degrees
Atoms (fractional coordinates):
In (0.0000, 0.0000, 0.0195)
In (0.0000, 0.0000, 0.4805)
Br (0.5000, 0.5000, 0.7500)
Mg (0.5000, 0.5000, 0.2500)

***

Energies, relative to the best one, in eV/atom: #one 0.000; #two 0.036.

***

#one
Density functional theory data (PBE-GGA) for an optimized crystal structure of MgIn2Br.

Fermi-level density of states: 1.9 states/eV/f.u.
Magnetic moment: 0.00 μB/f.u.

Cell lengths 5.6347, 5.6347, 3.4424 Å; angles 90.00, 90.00, 90.00 degrees
Atoms (fractional coordinates):
Br (0.0000, 0.5000, 0.5000)
In (0.5000, 0.5000, 0.0000)
In (0.0000, 0.0000, 0.0000)
Mg (0.5000, 0.0000, 0.5000)

***

#two
Density functional theory data (PBE-GGA) for an optimized crystal structure of MgIn2Br.

Fermi-level density of states: 4.0 states/eV/f.u.
Magnetic moment: 0.00 μB/f.u.

Cell lengths 5.3924, 5.3924, 5.3924 Å; angles 60.00, 60.00, 60.00 degrees
Atoms (fractional coordinates):
In (0.2500, 0.2500, 0.2500)
In (0.0000, 0.0000, 0.0000)
Br (0.5000, 0.5000, 0.5000)
Mg (0.7500, 0.7500, 0.7500)

***

Energies, relative to the best one, in eV/atom: #one 0.000; #two 0.136.